# 1
VASP calculation (SCAN) on KTlPb2 at its PBEsol-relaxed geometry.

a = 6.801 Å, b = 10.428 Å, c = 3.420 Å
α = 90.00°, β = 90.00°, γ = 90.00°
Atoms (fractional coordinates):
K (0.000, 0.000, 0.000)
K (0.500, 0.500, 0.000)
Tl (0.000, 0.500, 0.000)
Tl (0.500, 0.000, 0.000)
Pb (0.250, 0.250, 0.500)
Pb (0.250, 0.750, 0.500)
Pb (0.750, 0.250, 0.500)
Pb (0.750, 0.750, 0.500)

Properties
Crystal system: orthorhombic
E_form, eV per atom: -0.117
Electronic total energy, eV per atom: -58.179



# 2
VASP calculation (SCAN) on KTlPb at its PBEsol-relaxed geometry.

a = 5.549 Å, b = 5.549 Å, c = 3.497 Å
α = 90.00°, β = 90.00°, γ = 120.00°
Atoms (fractional coordinates):
K (0.000, 0.000, 0.000)
Tl (0.333, 0.667, 0.569)
Pb (0.667, 0.333, 0.441)

Properties
Crystal system: trigonal
E_form, eV per atom: -0.217
Electronic total energy, eV per atom: -52.373



# 3
VASP calculation (SCAN) on K2Tl2Pb at its PBEsol-relaxed geometry.

a = 7.971 Å, b = 7.971 Å, c = 5.707 Å
α = 90.00°, β = 90.00°, γ = 90.00°
Atoms (fractional coordinates):
K (0.180, 0.320, 0.000)
K (0.320, 0.820, 0.000)
K (0.680, 0.180, 0.000)
K (0.820, 0.680, 0.000)
Tl (0.133, 0.633, 0.500)
Tl (0.367, 0.133, 0.500)
Tl (0.633, 0.867, 0.500)
Tl (0.867, 0.367, 0.500)
Pb (0.000, 0.000, 0.500)
Pb (0.500, 0.500, 0.500)

Properties
Crystal system: tetragonal
E_form, eV per atom: -0.196
Electronic total energy, eV per atom: -47.627



# 4
VASP calculation (SCAN) on KTlPb2 at its PBEsol-relaxed geometry.

a = 3.736 Å, b = 4.387 Å, c = 7.772 Å
α = 90.00°, β = 90.00°, γ = 90.00°
Atoms (fractional coordinates):
K (0.000, 0.000, 0.000)
Tl (0.500, 0.500, 0.717)
Pb (0.000, 0.000, 0.501)
Pb (0.500, 0.500, 0.298)

Properties
Crystal system: orthorhombic
E_form, eV per atom: -0.191
Electronic total energy, eV per atom: -58.253



What is the electronic total energy in the first record?
-58.179 eV per atom



Among the records above, which one has the highest electronic total energy?
K2Tl2Pb



Among the records above, which one has the lowest electronic total energy?
number 4



Look up the electronic total energy of the fourth one.
-58.253 eV per atom